## SmBiPd (PBE-GGA)

Data for an optimized crystal structure of SmBiPd.

abc: 6.8101 6.8101 6.8101
angles: 90.00 90.00 90.00
With the nearest neighbours (Å) after each atom.
Space group F-43m (No. 216)
Symmetry-distinct sites (fractional):
Sm (0.0000, 0.0000, 0.0000)  4 Pd 2.95
Bi (0.0000, 0.0000, 0.5000)  4 Pd 2.95
Pd (0.2500, 0.2500, 0.2500)  4 Bi 2.95, 4 Sm 2.95

Summary:
energy of formation from the pure elements	-2.839	eV per formula unit